Record 1
Entry from Alexandria: a relaxed NaCr2Fe crystal (PBE-GGA).

Summary:
Energy relative to the lowest polymorph listed for this composition in meV/atom: 0
DFT total energy in eV/atom: -6.10
Formation energy in eV/f.u.: 4.6
Space group: Fm-3m (225)

```
data_NaCr2Fe
_space_group_name_H-M_alt 'P 1'
_space_group_IT_number 1
_space_group_name_Hall 'P 1'
_cell_length_a 4.1479
_cell_length_b 4.1479
_cell_length_c 4.1479
_cell_angle_alpha 60.00
_cell_angle_beta 60.00
_cell_angle_gamma 60.00
loop_
_atom_site_label
_atom_site_type_symbol
_atom_site_fract_x
_atom_site_fract_y
_atom_site_fract_z
Na1 Na 0.0000 0.0000 0.0000
Cr1 Cr 0.2500 0.2500 0.2500
Cr2 Cr 0.7500 0.7500 0.7500
Fe1 Fe 0.5000 0.5000 0.5000
```

***

Record 2
Entry from Alexandria: a relaxed Co3Ni2Mo2 crystal (PBE-GGA).

Summary:
DFT total energy in eV/atom: -7.66
Formation energy in eV/f.u.: 0.9
Space group: C2/m (12)

```
data_Co3Ni2Mo2
_space_group_name_H-M_alt 'P 1'
_space_group_IT_number 1
_space_group_name_Hall 'P 1'
_cell_length_a 6.1935
_cell_length_b 6.1935
_cell_length_c 6.3401
_cell_angle_alpha 116.50
_cell_angle_beta 116.50
_cell_angle_gamma 23.87
loop_
_atom_site_label
_atom_site_type_symbol
_atom_site_fract_x
_atom_site_fract_y
_atom_site_fract_z
Co1 Co 0.0000 0.0000 0.0000
Co2 Co 0.2214 0.2214 0.1350
Co3 Co 0.7786 0.7786 0.8650
Ni1 Ni 0.0822 0.0822 0.7105
Ni2 Ni 0.9178 0.9178 0.2895
Mo1 Mo 0.3694 0.3694 0.5953
Mo2 Mo 0.6306 0.6306 0.4047
```

***

Record 3
Entry from Alexandria: a relaxed LiBeF4 crystal (PBE-GGA).

Summary:
DFT total energy in eV/atom: -4.66
Raw formation energy in eV per atom: -2.47
Space group: P-42c (112)

```
data_LiBeF4
_space_group_name_H-M_alt 'P 1'
_space_group_IT_number 1
_space_group_name_Hall 'P 1'
_cell_length_a 4.0671
_cell_length_b 4.0671
_cell_length_c 9.1748
_cell_angle_alpha 90.00
_cell_angle_beta 90.00
_cell_angle_gamma 90.00
loop_
_atom_site_label
_atom_site_type_symbol
_atom_site_fract_x
_atom_site_fract_y
_atom_site_fract_z
Li1 Li 0.0000 0.0000 0.0000
Li2 Li 0.0000 0.0000 0.5000
Be1 Be 0.0000 0.5000 0.2500
Be2 Be 0.5000 0.0000 0.7500
F1 F 0.1965 0.2886 0.3608
F2 F 0.1965 0.7114 0.1392
F3 F 0.2886 0.1965 0.8608
F4 F 0.2886 0.8035 0.6392
F5 F 0.7114 0.1965 0.6392
F6 F 0.7114 0.8035 0.8608
F7 F 0.8035 0.2886 0.1392
F8 F 0.8035 0.7114 0.3608
```

***

Record 4
Entry from Alexandria: a relaxed SiNiAg2 crystal (PBE-GGA).

Summary:
DFT total energy in eV/atom: -3.92
Raw formation energy in eV per atom: 0.30
Space group: R-3m (166)

```
data_SiNiAg2
_space_group_name_H-M_alt 'P 1'
_space_group_IT_number 1
_space_group_name_Hall 'P 1'
_cell_length_a 9.0077
_cell_length_b 9.0077
_cell_length_c 9.0077
_cell_angle_alpha 18.12
_cell_angle_beta 18.12
_cell_angle_gamma 18.12
loop_
_atom_site_label
_atom_site_type_symbol
_atom_site_fract_x
_atom_site_fract_y
_atom_site_fract_z
Si1 Si 0.0000 0.0000 0.0000
Ni1 Ni 0.5000 0.5000 0.5000
Ag1 Ag 0.2480 0.2480 0.2480
Ag2 Ag 0.7520 0.7520 0.7520
```